DFT (GGA-PBEsol) results for NaGaW2N after structural relaxation.

The structure in POSCAR format:
```
NaGaW2N
1.0
3.6692 0.0000 0.0000
0.0000 4.9065 0.0000
0.0000 0.0000 4.9065
Na Ga W N
1 1 2 1
direct
0.5000 0.5000 0.5000
0.0000 0.0000 0.0000
0.0000 0.0000 0.5000
0.0000 0.5000 0.0000
0.5000 0.0000 0.0000
```

**Formation energy (no corrections)**: 2.4193 eV per atom
**DOS at the Fermi energy**: 0.97 states/eV per atom
**Calculated density**: 8.9 Mg/m³
**Symmetry**: No. 123


DFT (GGA-PBEsol) results for NbGaS2N after structural relaxation.

The structure in POSCAR format:
```
NbGaS2N
1.0
-1.1538 1.4216 -3.0958
-4.3777 -1.2966 1.0362
-0.7065 4.1004 2.1463
Nb S Ga N
1 2 1 1
direct
0.5000 0.5000 0.5000
0.0000 0.0000 0.5000
0.0000 0.5000 0.0000
0.0000 0.0000 0.0000
0.5000 0.0000 0.0000
```

**Formation energy (no corrections)**: 0.5408 eV per atom
**DOS at the Fermi energy**: 0.49 states/eV per atom
**Calculated density**: 5.1 Mg/m³
**Symmetry**: No. 123


DFT (GGA-PBEsol) results for NbGaTe2N after structural relaxation.

The structure in POSCAR format:
```
NbGaTe2N
1.0
3.5013 0.0000 0.0000
0.0000 5.4293 0.0000
0.0000 0.0000 5.4293
Nb Te Ga N
1 2 1 1
direct
0.5000 0.5000 0.5000
0.0000 0.0000 0.5000
0.0000 0.5000 0.0000
0.0000 0.0000 0.0000
0.5000 0.0000 0.0000
```

**Formation energy (no corrections)**: 0.7842 eV per atom
**DOS at the Fermi energy**: 1.04 states/eV per atom
**Calculated density**: 6.9 Mg/m³
**Symmetry**: No. 123


DFT (GGA-PBEsol) results for Ga3NiN after structural relaxation.

The structure in POSCAR format:
```
Ga3NiN
1.0
-0.1394 -0.4305 4.0679
-2.1739 -3.4401 -0.4386
3.4651 -2.1755 -0.1115
Ni Ga N
1 3 1
direct
0.5000 0.5000 0.5000
0.0000 0.5000 0.0000
0.0000 0.0000 0.5000
0.5000 0.0000 0.0000
0.0000 0.0000 0.0000
```

**Formation energy (no corrections)**: 0.4808 eV per atom
**DOS at the Fermi energy**: 0.51 states/eV per atom
**Calculated density**: 6.8 Mg/m³
**Symmetry**: No. 221


DFT (GGA-PBEsol) results for GaNiN2 after structural relaxation.

The structure in POSCAR format:
```
GaNiN2
1.0
-0.1186 -2.0978 1.9859
-0.0313 -2.7709 -0.8244
5.6093 -1.7481 0.5929
Ni Ga N
1 1 2
direct
0.5000 0.5000 0.5000
0.0000 0.0000 0.0000
0.8888 0.8888 0.3337
0.1112 0.1112 0.6663
```

**Formation energy (no corrections)**: 0.3606 eV per atom
**DOS at the Fermi energy**: 0.46 states/eV per atom
**Calculated density**: 6.3 Mg/m³
**Symmetry**: No. 166


DFT (GGA-PBEsol) results for GaNi3N after structural relaxation.

The structure in POSCAR format:
```
GaNi3N
1.0
3.7247 0.0000 0.0000
0.0000 3.7247 0.0000
0.0000 0.0000 3.7247
Ni Ga N
3 1 1
direct
0.0000 0.5000 0.0000
0.0000 0.0000 0.5000
0.5000 0.0000 0.0000
0.5000 0.5000 0.5000
0.0000 0.0000 0.0000
```

**Formation energy (no corrections)**: -0.2273 eV per atom
**DOS at the Fermi energy**: 0.46 states/eV per atom
**Calculated density**: 8.3 Mg/m³
**Symmetry**: No. 221


DFT (GGA-PBEsol) results for Ga3NO3 after structural relaxation.

The structure in POSCAR format:
```
Ga3NO3
1.0
5.8546 0.0000 0.0000
2.9273 5.1125 0.0066
2.9273 1.6654 9.6416
Ga N O
12 4 12
direct
0.5000 0.0000 0.0000
0.0610 0.0692 0.8088
0.5000 0.5000 0.0000
0.2515 0.2412 0.2558
0.7485 0.7588 0.7442
0.9390 0.9308 0.1912
0.5000 0.0000 0.5000
0.0000 0.5000 0.0000
0.5521 0.5922 0.3036
0.0000 0.0000 0.5000
0.4479 0.4078 0.6964
0.0000 0.5000 0.5000
0.3692 0.3647 0.8970
0.3538 0.9076 0.3847
0.6308 0.6353 0.1030
0.6462 0.0924 0.6153
0.3871 0.8675 0.8732
0.8721 0.8675 0.8732
0.6129 0.1325 0.1268
0.8656 0.3981 0.8706
0.3585 0.3786 0.3768
0.1279 0.1325 0.1268
0.8770 0.8612 0.3847
0.1344 0.6019 0.1294
0.8861 0.3786 0.3768
0.1230 0.1388 0.6153
0.6415 0.6214 0.6232
0.1139 0.6214 0.6232
```

**Formation energy (no corrections)**: -1.4930 eV per atom
**DOS at the Fermi energy**: 0.00 states/eV per atom
**Energy relative to the lowest polymorph listed for this composition**: 11 meV/atom
**Calculated density**: 6.2 Mg/m³
**Symmetry**: No. 12


DFT (GGA-PBEsol) results for Ga3NO3 after structural relaxation.

The structure in POSCAR format:
```
Ga3NO3
1.0
-4.3163 2.8766 -2.7104
-5.2625 0.4352 2.5237
-1.8091 5.2289 2.1119
Ga N O
6 2 6
direct
0.5000 0.0000 0.0000
0.5000 0.5000 0.5000
0.8623 0.8623 0.4132
0.5000 0.5000 0.0000
0.1377 0.1377 0.5868
0.0000 0.5000 0.0000
0.2676 0.2676 0.1971
0.7324 0.7324 0.8029
0.2597 0.2597 0.7411
0.2597 0.7396 0.7411
0.7396 0.2597 0.7411
0.2604 0.7403 0.2589
0.7403 0.7403 0.2589
0.7403 0.2604 0.2589
```

**Formation energy (no corrections)**: -1.5042 eV per atom
**DOS at the Fermi energy**: 0.00 states/eV per atom
**Energy relative to the lowest polymorph listed for this composition**: 0 meV/atom
**Calculated density**: 6.2 Mg/m³
**Symmetry**: No. 166


DFT (GGA-PBEsol) results for Ga3NO3 after structural relaxation.

The structure in POSCAR format:
```
Ga3NO3
1.0
-0.6619 0.8043 -2.9279
4.1291 -6.5824 -2.7417
-8.0498 -0.5836 1.6596
Ga N O
6 2 6
direct
0.2500 0.2377 0.8245
0.2500 0.5868 0.7623
0.2500 0.1755 0.4132
0.7500 0.8245 0.5868
0.7500 0.4132 0.2377
0.7500 0.7623 0.1755
0.2500 0.3333 0.6667
0.7500 0.6667 0.3333
0.7500 0.2912 0.9728
0.7500 0.6817 0.7088
0.7500 0.0272 0.3183
0.2500 0.9728 0.6817
0.2500 0.3183 0.2912
0.2500 0.7088 0.0272
```

**Formation energy (no corrections)**: -1.4405 eV per atom
**DOS at the Fermi energy**: 0.10 states/eV per atom
**Energy relative to the lowest polymorph listed for this composition**: 64 meV/atom
**Calculated density**: 4.9 Mg/m³
**Symmetry**: No. 176


DFT (GGA-PBEsol) results for Ga3NO after structural relaxation.

The structure in POSCAR format:
```
Ga3NO
1.0
4.1980 0.0000 0.0000
0.0000 4.1980 0.0000
0.0000 0.0000 4.1980
O Ga N
1 3 1
direct
0.5000 0.5000 0.5000
0.0000 0.5000 0.0000
0.0000 0.0000 0.5000
0.5000 0.0000 0.0000
0.0000 0.0000 0.0000
```

**Formation energy (no corrections)**: 0.4780 eV per atom
**DOS at the Fermi energy**: 0.38 states/eV per atom
**Calculated density**: 5.4 Mg/m³
**Symmetry**: No. 221


DFT (GGA-PBEsol) results for Ga3NO3 after structural relaxation.

The structure in POSCAR format:
```
Ga3NO3
1.0
-1.1996 5.4868 -2.9563
1.0841 -3.5761 -7.0770
-7.4377 0.1448 3.2869
Ga N O
12 4 12
direct
0.7430 0.1624 0.7604
0.2570 0.1624 0.7604
0.0000 0.4095 0.1674
0.5000 0.4008 0.1675
0.5000 0.7606 0.5888
0.0000 0.7581 0.5937
0.2568 0.2453 0.4111
0.7432 0.2453 0.4111
0.2495 0.6025 0.8428
0.7505 0.6025 0.8428
0.5000 0.8345 0.2262
0.0000 0.8335 0.2256
0.5000 0.0240 0.7097
0.5000 0.2970 0.3246
0.5000 0.6786 0.9695
0.0000 0.6845 0.9706
0.0000 0.0266 0.7111
0.2453 0.3367 0.0267
0.7547 0.3367 0.0267
0.7518 0.6710 0.6425
0.2482 0.6710 0.6425
0.0000 0.6701 0.3354
0.5000 0.6665 0.3272
0.2357 0.3336 0.6687
0.7643 0.3336 0.6687
0.0000 0.2973 0.3250
0.2469 0.9776 0.3270
0.7531 0.9776 0.3270
```

**Formation energy (no corrections)**: -1.4668 eV per atom
**Energy relative to the lowest polymorph listed for this composition**: 37 meV/atom
**Calculated density**: 5.0 Mg/m³
**Symmetry**: No. 6


DFT (GGA-PBEsol) results for Ga3NO3 after structural relaxation.

The structure in POSCAR format:
```
Ga3NO3
1.0
-5.2788 -1.9375 -2.8371
3.4871 -7.1994 -1.5716
-4.1333 1.0987 6.9404
Ga N O
12 4 12
direct
0.5000 0.4967 0.9290
0.0000 0.4932 0.9215
0.5000 0.4322 0.5033
0.0000 0.4283 0.5068
0.0000 0.0785 0.5717
0.5000 0.0710 0.5678
0.7434 0.2622 0.0925
0.2566 0.2622 0.0925
0.7434 0.9075 0.1696
0.2566 0.9075 0.1696
0.2566 0.8304 0.7378
0.7434 0.8304 0.7378
0.0000 0.3333 0.6667
0.5000 0.3283 0.0183
0.5000 0.9817 0.3100
0.5000 0.6900 0.6717
0.7530 0.6425 0.0024
0.2470 0.6425 0.0024
0.5000 0.3333 0.6667
0.7530 0.3599 0.3575
0.2470 0.3599 0.3575
0.2470 0.9976 0.6401
0.7530 0.9976 0.6401
0.0000 0.3467 0.0441
0.0000 0.9559 0.3026
0.2297 0.0000 0.0000
0.7703 0.0000 0.0000
0.0000 0.6974 0.6533
```

**Formation energy (no corrections)**: -1.4664 eV per atom
**Energy relative to the lowest polymorph listed for this composition**: 38 meV/atom
**Calculated density**: 5.0 Mg/m³
**Symmetry**: No. 174


DFT (GGA-PBEsol) results for Ga11NO15 after structural relaxation.

The structure in POSCAR format:
```
Ga11NO15
1.0
-5.6142 -1.3709 -0.5713
0.2646 -3.2217 4.9447
-2.3122 6.5140 4.4005
Ga N O
11 1 15
direct
0.9989 0.2561 0.1308
0.9774 0.4944 0.5141
0.4760 0.7516 0.6344
0.7436 0.7573 0.2509
0.9772 0.0075 0.5150
0.5240 0.0088 0.9955
0.2513 0.2483 0.7504
0.5215 0.4966 0.9856
0.0222 0.7450 0.8666
0.2557 0.7581 0.2499
0.5009 0.2377 0.3638
0.5002 0.9763 0.2349
0.9990 0.5266 0.2607
0.7539 0.7508 0.4995
0.0001 0.9855 0.2594
0.0176 0.0056 0.7433
0.4847 0.0065 0.7631
0.7656 0.2518 0.4854
0.2675 0.2543 0.9955
0.7413 0.2569 0.0084
0.4847 0.4907 0.7556
0.4997 0.5126 0.2408
0.0156 0.4883 0.7416
0.2712 0.7393 0.0076
0.7501 0.7447 0.0008
0.2208 0.7491 0.4926
0.2293 0.2496 0.5039
```

**Formation energy (no corrections)**: -1.7730 eV per atom
**DOS at the Fermi energy**: 0.00 states/eV per atom
**Calculated density**: 6.0 Mg/m³
**Symmetry**: No. 1


DFT (GGA-PBEsol) results for Ga3NO3 after structural relaxation.

The structure in POSCAR format:
```
Ga3NO3
1.0
-0.3472 3.8369 4.7538
-8.2939 -0.6901 -0.0567
4.6032 -5.2555 4.4968
Ga N O
12 4 12
direct
0.9807 0.7526 0.9225
0.6820 0.4327 0.9273
0.6973 0.5016 0.5990
0.9895 0.0887 0.8344
0.4880 0.9264 0.7545
0.6929 0.0722 0.4942
0.9813 0.1838 0.2671
0.2070 0.9124 0.4169
0.1946 0.5751 0.4889
0.4966 0.8265 0.0819
0.2054 0.5020 0.0747
0.5045 0.2672 0.1815
0.4734 0.9368 0.3359
0.7114 0.6623 0.9355
0.7365 0.3273 0.3432
0.4566 0.3668 0.0285
0.2241 0.6866 0.0062
0.9631 0.3445 0.9566
0.9780 0.6312 0.6599
0.6564 0.3181 0.6668
0.4809 0.0048 0.0037
0.9974 0.0096 0.0076
0.2258 0.9866 0.6762
0.7395 0.9992 0.6835
0.2395 0.3225 0.3282
0.9729 0.0354 0.3833
0.4631 0.6656 0.6146
0.1270 0.6618 0.3273
```

**Formation energy (no corrections)**: -1.4504 eV per atom
**Energy relative to the lowest polymorph listed for this composition**: 54 meV/atom
**Calculated density**: 4.9 Mg/m³
**Symmetry**: No. 1


DFT (GGA-PBEsol) results for SrGaNO2 after structural relaxation.

The structure in POSCAR format:
```
SrGaNO2
1.0
-1.3486 -1.4935 -3.2942
3.7203 -0.9052 -1.1127
-0.3420 -3.5636 1.7556
Sr O Ga N
1 2 1 1
direct
0.5000 0.5000 0.5000
0.0000 0.0000 0.5000
0.0000 0.5000 0.0000
0.0000 0.0000 0.0000
0.5000 0.0000 0.0000
```

**Formation energy (no corrections)**: -1.1680 eV per atom
**DOS at the Fermi energy**: 0.30 states/eV per atom
**Calculated density**: 5.5 Mg/m³
**Symmetry**: No. 123


DFT (GGA-PBEsol) results for GaTeN2O after structural relaxation.

The structure in POSCAR format:
```
GaTeN2O
1.0
3.8823 0.0000 0.0000
0.0000 4.0012 0.0000
0.0000 0.0000 4.0012
Te O Ga N
1 1 1 2
direct
0.0000 0.0000 0.0000
0.5000 0.0000 0.0000
0.5000 0.5000 0.5000
0.0000 0.0000 0.5000
0.0000 0.5000 0.0000
```

**Formation energy (no corrections)**: 0.6858 eV per atom
**DOS at the Fermi energy**: 0.38 states/eV per atom
**Calculated density**: 6.4 Mg/m³
**Symmetry**: No. 123


DFT (GGA-PBEsol) results for ZnGaN2O after structural relaxation.

The structure in POSCAR format:
```
ZnGaN2O
1.0
-0.6912 -0.0421 -3.7401
2.3711 -3.0506 -0.4039
-2.9952 -2.4049 0.5806
Zn O Ga N
1 1 1 2
direct
0.5000 0.5000 0.5000
0.5000 0.0000 0.0000
0.0000 0.0000 0.0000
0.0000 0.0000 0.5000
0.0000 0.5000 0.0000
```

**Formation energy (no corrections)**: 0.8443 eV per atom
**DOS at the Fermi energy**: 0.46 states/eV per atom
**Calculated density**: 5.2 Mg/m³
**Symmetry**: No. 123


DFT (GGA-PBEsol) results for ZnGa3N3O after structural relaxation.

The structure in POSCAR format:
```
ZnGa3N3O
1.0
6.4167 -0.0013 0.0007
-3.2053 5.5581 0.0008
-0.0011 -0.0020 10.3981
Zn Ga N O
4 12 12 4
direct
0.1725 0.8445 0.7322
0.8333 0.6665 0.4877
0.1604 0.3220 0.7341
0.3330 0.6656 0.4906
0.3437 0.6717 0.0060
0.6593 0.3229 0.7458
0.6694 0.8423 0.7471
0.8248 0.1628 0.0047
0.8243 0.6616 0.0048
0.8306 0.1639 0.4952
0.1662 0.8337 0.2573
0.6672 0.3330 0.2544
0.1650 0.3318 0.2549
0.6677 0.8343 0.2572
0.3436 0.1718 0.0051
0.3346 0.1669 0.4965
0.6690 0.8345 0.9367
0.3446 0.1760 0.6851
0.6698 0.8404 0.4383
0.6634 0.3259 0.4367
0.1716 0.8421 0.4388
0.3325 0.6661 0.1876
0.3326 0.1664 0.1865
0.1615 0.3245 0.4378
0.8240 0.1636 0.6866
0.6687 0.3342 0.9365
0.8337 0.6667 0.1875
0.8336 0.1667 0.1869
0.3437 0.6698 0.7018
0.1674 0.3342 0.9475
0.1670 0.8328 0.9459
0.8215 0.6610 0.7020
```

**Formation energy (no corrections)**: -0.7636 eV per atom
**DOS at the Fermi energy**: 0.03 states/eV per atom
**Calculated density**: 6.0 Mg/m³
**Symmetry**: No. 1


DFT (GGA-PBEsol) results for GaOsSeN2 after structural relaxation.

The structure in POSCAR format:
```
GaOsSeN2
1.0
-2.0947 -2.3874 1.8225
0.3991 -2.4235 -2.7159
4.6298 -2.1073 2.5607
Os Ga Se N
1 1 1 2
direct
0.5000 0.5000 0.5000
0.0000 0.0000 0.0000
0.0000 0.0000 0.5000
0.0000 0.5000 0.0000
0.5000 0.0000 0.0000
```

**Formation energy (no corrections)**: 1.8499 eV per atom
**DOS at the Fermi energy**: 1.16 states/eV per atom
**Calculated density**: 8.0 Mg/m³
**Symmetry**: No. 123


DFT (GGA-PBEsol) results for GaPt3N after structural relaxation.

The structure in POSCAR format:
```
GaPt3N
1.0
4.5826 0.0000 0.0000
0.0000 4.5826 0.0000
0.0000 0.0000 4.5826
Ga Pt N
1 3 1
direct
0.0000 0.0000 0.0000
0.0000 0.5000 0.0000
0.0000 0.0000 0.5000
0.5000 0.0000 0.0000
0.5000 0.5000 0.5000
```

**Formation energy (no corrections)**: 1.9307 eV per atom
**DOS at the Fermi energy**: 0.78 states/eV per atom
**Calculated density**: 11.5 Mg/m³
**Symmetry**: No. 221